Entry from Alexandria: Hf5PaSb2 after structural relaxation (PBE-GGA).

Unit cell a=5.8952 b=5.8952 c=13.8935 alpha=90.00 beta=90.00 gamma=128.75
Last column: nearest neighbours and their distance in Å.
Positions (direct):
Hf  0.0714  0.9286  0.7500  2 Sb 2.98, 1 Pa 3.05, 4 Hf 3.30
Hf  0.1093  0.8907  0.0515  1 Hf 2.73, 3 Sb 2.91-2.93, 1 Pa 2.98
Hf  0.1093  0.8907  0.4485  1 Hf 2.73, 3 Sb 2.91-2.93, 1 Pa 2.98
Hf  0.4220  0.5780  0.0990  1 Pa 3.04, 4 Sb 3.12-3.37, 8 Hf 3.21-3.39
Hf  0.4220  0.5780  0.4010  1 Pa 3.04, 4 Sb 3.12-3.37, 8 Hf 3.21-3.39
Hf  0.5780  0.4220  0.5990  1 Pa 3.04, 4 Sb 3.12-3.37, 8 Hf 3.21-3.39
Hf  0.5780  0.4220  0.9010  1 Pa 3.04, 4 Sb 3.12-3.37, 8 Hf 3.21-3.39
Hf  0.8907  0.1093  0.5515  1 Hf 2.73, 3 Sb 2.91-2.93, 1 Pa 2.98
Hf  0.8907  0.1093  0.9485  1 Hf 2.73, 3 Sb 2.91-2.93, 1 Pa 2.98
Hf  0.9286  0.0714  0.2500  2 Sb 2.98, 1 Pa 3.05, 4 Hf 3.30
Pa  0.2150  0.7850  0.2500  5 Hf 2.98-3.05, 4 Sb 3.20
Pa  0.7850  0.2150  0.7500  5 Hf 2.98-3.05, 4 Sb 3.20
Sb  0.2848  0.7152  0.6111  5 Hf 2.91-3.12, 2 Pa 3.20
Sb  0.2848  0.7152  0.8889  5 Hf 2.91-3.12, 2 Pa 3.20
Sb  0.7152  0.2848  0.1111  5 Hf 2.91-3.12, 2 Pa 3.20
Sb  0.7152  0.2848  0.3889  5 Hf 2.91-3.12, 2 Pa 3.20

Formation energy (no corrections) (eV per atom): -0.078
Density of states at the Fermi level (states/eV/cell): 16.6
Electronic total energy (eV/atom): -8.52